[1]
## ZnAg2Ge2 (PBE)

Data for ZnAg2Ge2 after structural relaxation.

Cell and atoms, written as POSCAR:
```
ZnAg2Ge2
1.0
8.2553 0.0000 0.0000
0.0000 8.2553 0.0000
0.0000 0.0000 2.8517
Zn Ag Ge
2 4 4
direct
0.0000 0.0000 0.0000
0.5000 0.5000 0.0000
0.1692 0.3308 0.5000
0.3308 0.8308 0.5000
0.6692 0.1692 0.5000
0.8308 0.6692 0.5000
0.1285 0.6285 0.0000
0.3715 0.1285 0.0000
0.6285 0.8715 0.0000
0.8715 0.3715 0.0000
```

## Properties
Size of the total moment: 0.00 μB/f.u.
Symmetry: No. 127
Distance to the lowest polymorph of the same formula: 0.000 eV/atom

---

[2]
## Cr2Pb (PBE)

Data for Cr2Pb after structural relaxation.

Cell and atoms, written as POSCAR:
```
Cr2Pb
1.0
3.8564 0.0000 0.0000
-1.9282 3.3397 0.0000
0.0000 0.0000 4.0799
Cr Pb
2 1
direct
0.3333 0.6667 0.0000
0.6667 0.3333 0.0000
0.0000 0.0000 0.5000
```

## Properties
Size of the total moment: 0.00 μB/f.u.
Symmetry: No. 191
Distance to the lowest polymorph of the same formula: 0.510 eV/atom

---

[3]
## Rb3SmY2Te6 (PBE)

Data for Rb3SmY2Te6 after structural relaxation.

Cell and atoms, written as POSCAR:
```
Rb3SmY2Te6
1.0
3.9433 -6.8305 0.0000
3.9433 6.8305 0.0000
-2.6289 0.0000 8.5552
Rb Sm Y Te
3 1 2 6
direct
0.0000 0.0000 0.0000
0.3344 0.6656 0.0000
0.6656 0.3344 0.0000
0.5000 0.5000 0.5000
0.1668 0.8332 0.5000
0.8332 0.1668 0.5000
0.0954 0.4330 0.2992
0.2292 0.2292 0.7005
0.4330 0.0954 0.2992
0.5670 0.9046 0.7008
0.7708 0.7708 0.2995
0.9046 0.5670 0.7008
```

## Properties
Size of the total moment: 0.00 μB/f.u.
Symmetry: No. 12
Energy: -56.2 eV/cell